Entry 1:
The following is a meta-GGA SCAN calculation of a PBEsol-optimized structure of LiZnPb2, from the Alexandria database.

a = 3.655 Å, b = 4.839 Å, c = 10.297 Å
α = 90.00°, β = 90.00°, γ = 90.00°
Fractional positions:
Li 0.000 0.000 0.000
Li 0.500 0.500 0.500
Zn 0.000 0.500 0.288
Zn 0.500 0.000 0.788
Pb 0.000 0.000 0.536
Pb 0.000 0.500 0.762
Pb 0.500 0.000 0.262
Pb 0.500 0.500 0.036

Computed properties:
As for the volume: 182 Å³/cell. The uncorrected energy comes out at -41.91 eV/atom. The crystal system is orthorhombic. For the formation energy, the calculation gives -0.04 eV per atom. The calculated density comes out at 8.88 Mg/m³.



Entry 2:
The following is a meta-GGA SCAN calculation of a PBEsol-optimized structure of Li2Zn2Pb, from the Alexandria database.

a = 7.361 Å, b = 7.361 Å, c = 3.295 Å
α = 90.00°, β = 90.00°, γ = 90.00°
Fractional positions:
Li 0.171 0.329 0.000
Li 0.329 0.829 0.000
Li 0.671 0.171 0.000
Li 0.829 0.671 0.000
Zn 0.120 0.620 0.500
Zn 0.380 0.120 0.500
Zn 0.620 0.880 0.500
Zn 0.880 0.380 0.500
Pb 0.000 0.000 0.500
Pb 0.500 0.500 0.500

Computed properties:
As for the volume: 179 Å³/cell. The uncorrected energy comes out at -21.69 eV/atom. The crystal system is tetragonal. For the formation energy, the calculation gives -0.17 eV per atom. The calculated density comes out at 6.55 Mg/m³.



Entry 3:
The following is a meta-GGA SCAN calculation of a PBEsol-optimized structure of LiZnPb2, from the Alexandria database.

a = 4.602 Å, b = 3.571 Å, c = 10.876 Å
α = 90.00°, β = 90.00°, γ = 90.00°
Fractional positions:
Li 0.000 0.000 0.000
Li 0.000 0.500 0.500
Zn 0.500 0.000 0.146
Zn 0.500 0.500 0.646
Pb 0.000 0.000 0.727
Pb 0.000 0.500 0.227
Pb 0.500 0.000 0.422
Pb 0.500 0.500 0.922

Computed properties:
As for the volume: 179 Å³/cell. The uncorrected energy comes out at -41.95 eV/atom. The crystal system is orthorhombic. For the formation energy, the calculation gives -0.08 eV per atom. The calculated density comes out at 9.05 Mg/m³.



Entry 4:
The following is a meta-GGA SCAN calculation of a PBEsol-optimized structure of LiZnPb2, from the Alexandria database.

a = 9.290 Å, b = 3.461 Å, c = 5.814 Å
α = 90.00°, β = 101.57°, γ = 90.00°
Fractional positions:
Li 0.000 0.000 0.000
Li 0.500 0.500 0.000
Zn 0.000 0.500 0.500
Zn 0.500 0.000 0.500
Pb 0.244 0.000 0.745
Pb 0.256 0.500 0.255
Pb 0.744 0.500 0.745
Pb 0.756 0.000 0.255

Computed properties:
As for the volume: 183 Å³/cell. The uncorrected energy comes out at -41.93 eV/atom. The crystal system is monoclinic. For the formation energy, the calculation gives -0.06 eV per atom. The calculated density comes out at 8.83 Mg/m³.



Entry 5:
The following is a meta-GGA SCAN calculation of a PBEsol-optimized structure of LiZnPb2, from the Alexandria database.

a = 3.689 Å, b = 3.689 Å, c = 6.635 Å
α = 90.00°, β = 90.00°, γ = 90.00°
Fractional positions:
Li 0.000 0.000 0.000
Zn 0.000 0.000 0.500
Pb 0.500 0.500 0.257
Pb 0.500 0.500 0.743

Computed properties:
As for the volume: 90 Å³/cell. The uncorrected energy comes out at -41.93 eV/atom. The crystal system is tetragonal. For the formation energy, the calculation gives -0.07 eV per atom. The calculated density comes out at 8.95 Mg/m³.



Entry 6:
The following is a meta-GGA SCAN calculation of a PBEsol-optimized structure of LiZnPb2, from the Alexandria database.

a = 3.369 Å, b = 3.369 Å, c = 7.867 Å
α = 90.00°, β = 90.00°, γ = 90.00°
Fractional positions:
Li 0.000 0.000 0.000
Zn 0.500 0.500 0.839
Pb 0.000 0.000 0.590
Pb 0.500 0.500 0.237

Computed properties:
As for the volume: 89 Å³/cell. The uncorrected energy comes out at -41.94 eV/atom. The crystal system is tetragonal. For the formation energy, the calculation gives -0.07 eV per atom. The calculated density comes out at 9.05 Mg/m³.



Entry 7:
The following is a meta-GGA SCAN calculation of a PBEsol-optimized structure of LiZn2Pb2, from the Alexandria database.

a = 3.630 Å, b = 3.630 Å, c = 16.775 Å
α = 90.00°, β = 90.00°, γ = 90.00°
Fractional positions:
Li 0.000 0.000 0.000
Li 0.500 0.500 0.500
Zn 0.000 0.500 0.250
Zn 0.000 0.500 0.750
Zn 0.500 0.000 0.250
Zn 0.500 0.000 0.750
Pb 0.000 0.000 0.389
Pb 0.000 0.000 0.611
Pb 0.500 0.500 0.111
Pb 0.500 0.500 0.889

Computed properties:
As for the volume: 221 Å³/cell. The uncorrected energy comes out at -36.23 eV/atom. The crystal system is tetragonal. For the formation energy, the calculation gives -0.03 eV per atom. The calculated density comes out at 8.29 Mg/m³.



Entry 8:
The following is a meta-GGA SCAN calculation of a PBEsol-optimized structure of LiZn3Pb, from the Alexandria database.

a = 5.299 Å, b = 5.299 Å, c = 5.299 Å
α = 90.00°, β = 90.00°, γ = 90.00°
Fractional positions:
Li 0.000 0.000 0.000
Zn 0.000 0.500 0.500
Zn 0.500 0.000 0.500
Zn 0.500 0.500 0.000
Pb 0.500 0.500 0.500

Computed properties:
As for the volume: 149 Å³/cell. The uncorrected energy comes out at -23.14 eV/atom. The crystal system is cubic. For the formation energy, the calculation gives 0.61 eV per atom. The calculated density comes out at 4.58 Mg/m³.



Entry 9:
The following is a meta-GGA SCAN calculation of a PBEsol-optimized structure of LiZn4Pb, from the Alexandria database.

a = 5.284 Å, b = 5.284 Å, c = 5.284 Å
α = 60.00°, β = 60.00°, γ = 60.00°
Fractional positions:
Li 0.000 0.000 0.000
Zn 0.374 0.374 0.374
Zn 0.374 0.374 0.879
Zn 0.374 0.879 0.374
Zn 0.879 0.374 0.374
Pb 0.750 0.750 0.750

Computed properties:
As for the volume: 104 Å³/cell. The uncorrected energy comes out at -22.07 eV/atom. The crystal system is cubic. For the formation energy, the calculation gives -0.03 eV per atom. The calculated density comes out at 7.57 Mg/m³.



Entry 10:
The following is a meta-GGA SCAN calculation of a PBEsol-optimized structure of LiZr4Pb, from the Alexandria database.

a = 5.757 Å, b = 5.757 Å, c = 5.757 Å
α = 60.00°, β = 60.00°, γ = 60.00°
Fractional positions:
Li 0.000 0.000 0.000
Zr 0.375 0.375 0.375
Zr 0.375 0.375 0.876
Zr 0.375 0.876 0.375
Zr 0.876 0.375 0.375
Pb 0.750 0.750 0.750

Computed properties:
As for the volume: 135 Å³/cell. The uncorrected energy comes out at -33.19 eV/atom. The crystal system is cubic. For the formation energy, the calculation gives 0.31 eV per atom. The calculated density comes out at 7.13 Mg/m³.



Entry 11:
The following is a meta-GGA SCAN calculation of a PBEsol-optimized structure of Li15Pd4, from the Alexandria database.

a = 9.095 Å, b = 9.095 Å, c = 9.095 Å
α = 109.47°, β = 109.47°, γ = 109.47°
Fractional positions:
Li 0.037 0.617 0.342
Li 0.080 0.305 0.963
Li 0.117 0.537 0.842
Li 0.125 0.875 0.250
Li 0.158 0.775 0.695
Li 0.195 0.275 0.658
Li 0.225 0.420 0.383
Li 0.250 0.125 0.875
Li 0.275 0.658 0.195
Li 0.305 0.963 0.080
Li 0.342 0.037 0.617
Li 0.375 0.625 0.750
Li 0.383 0.225 0.420
Li 0.420 0.383 0.225
Li 0.463 0.805 0.580
Li 0.537 0.842 0.117
Li 0.580 0.463 0.805
Li 0.617 0.342 0.037
Li 0.625 0.750 0.375
Li 0.658 0.195 0.275
Li 0.695 0.158 0.775
Li 0.725 0.883 0.920
Li 0.750 0.375 0.625
Li 0.775 0.695 0.158
Li 0.805 0.580 0.463
Li 0.842 0.117 0.537
Li 0.875 0.250 0.125
Li 0.883 0.920 0.725
Li 0.920 0.725 0.883
Li 0.963 0.080 0.305
Pd 0.000 0.411 0.500
Pd 0.000 0.911 0.500
Pd 0.089 0.089 0.089
Pd 0.411 0.500 0.000
Pd 0.500 0.000 0.411
Pd 0.500 0.000 0.911
Pd 0.589 0.589 0.589
Pd 0.911 0.500 0.000

Computed properties:
As for the volume: 579 Å³/cell. The uncorrected energy comes out at -9.07 eV/atom. The crystal system is cubic. For the formation energy, the calculation gives -0.29 eV per atom. The calculated density comes out at 3.04 Mg/m³.



Entry 12:
The following is a meta-GGA SCAN calculation of a PBEsol-optimized structure of Li3Pd, from the Alexandria database.

a = 4.199 Å, b = 4.199 Å, c = 6.409 Å
α = 90.00°, β = 90.00°, γ = 90.00°
Fractional positions:
Li 0.000 0.000 0.000
Li 0.000 0.500 0.250
Li 0.000 0.500 0.750
Li 0.500 0.000 0.250
Li 0.500 0.000 0.750
Li 0.500 0.500 0.500
Pd 0.000 0.000 0.500
Pd 0.500 0.500 0.000

Computed properties:
As for the volume: 113 Å³/cell. The uncorrected energy comes out at -10.30 eV/atom. The crystal system is tetragonal. For the formation energy, the calculation gives -0.31 eV per atom. The calculated density comes out at 3.74 Mg/m³.



Entry 13:
The following is a meta-GGA SCAN calculation of a PBEsol-optimized structure of Li2Pd, from the Alexandria database.

a = 4.189 Å, b = 4.189 Å, c = 2.665 Å
α = 90.00°, β = 90.00°, γ = 120.00°
Fractional positions:
Li 0.333 0.667 0.000
Li 0.667 0.333 0.000
Pd 0.000 0.000 0.500

Computed properties:
As for the volume: 40 Å³/cell. The uncorrected energy comes out at -12.91 eV/atom. The crystal system is hexagonal. For the formation energy, the calculation gives -0.39 eV per atom. The calculated density comes out at 4.93 Mg/m³.